No. 1
VASP calculation (GGA-PBEsol) on a geometry-optimized CsSr2HgI structure.

Properties
The calculation puts the total magnetization at 0.00 μB/f.u. Its formation energy without anion corrections is 0.26 eV per atom. The total DFT energy (no corrections) comes out at -1.130 eV/atom.

abc: 8.148 8.148 6.828
angles: 90.00 90.00 90.00
Space group P4/mmm (No. 123)
One atom of each set of equivalent atoms:
1 Cs 0.000 0.000 0.000
2 Sr 0.000 0.500 0.000
3 Hg 0.500 0.500 0.500
4 I 0.000 0.000 0.500


No. 2
VASP calculation (GGA-PBEsol) on a geometry-optimized AlInFe2 structure.

Properties
The calculation puts the total magnetization at 4.12 μB/f.u. The total DFT energy (no corrections) comes out at -6.194 eV/atom. Its calculated formation energy is 0.06 eV/atom.

abc: 3.130 4.203 8.547
angles: 90.00 90.00 90.00
Space group Imm2 (No. 44)
One atom of each set of equivalent atoms:
1 Al 0.000 0.000 0.000
2 In 0.000 0.500 0.223
3 Fe 0.000 0.000 0.461
4 Fe 0.000 0.500 0.750


No. 3
VASP calculation (GGA-PBEsol) on a geometry-optimized KMo2Ru structure.

Properties
The calculation puts the total magnetization at 0.00 μB/f.u. The total DFT energy (no corrections) comes out at -7.249 eV/atom. As for the relative energy among the computed polymorphs: 415 meV per atom. Its calculated formation energy is 1.46 eV/atom.

abc: 5.347 9.834 2.574
angles: 90.00 90.00 90.00
Space group Cmmm (No. 65)
One atom of each set of equivalent atoms:
1 K 0.000 0.000 0.000
2 Mo 0.250 0.250 0.500
3 Ru 0.000 0.500 0.000


No. 4
VASP calculation (GGA-PBEsol) on a geometry-optimized Al2ZnNi structure.

Properties
The calculation puts the total magnetization at 0.00 μB/f.u. The total DFT energy (no corrections) comes out at -4.203 eV/atom. Its calculated formation energy is -0.22 eV/atom.

abc: 6.033 6.129 2.836
angles: 90.00 90.00 90.00
Space group Cmmm (No. 65)
One atom of each set of equivalent atoms:
1 Al 0.250 0.250 0.000
2 Zn 0.000 0.000 0.500
3 Ni 0.000 0.500 0.500